5
Lattice="4.1173 0.0000 0.0000 0.0000 4.1173 0.0000 0.0000 0.0000 5.7378" Properties=species:S:1:pos:R:3 comment="ZrSBrN2 | Alexandria via LeMat-Bulk | PBE-GGA | relaxed" de_polymorph_kcal_per_mol_atoms=0.00 dos_ef_per_ev_fu=3.578 dft_energy_ev_per_atom=-5.578 e_form_raw_ev_per_atom=0.622 pbc="T T T"
Zr 0.0000 0.0000 0.0000
S 0.0000 0.0000 2.8689
Br 2.0587 2.0587 2.8689
N 0.0000 2.0587 0.0000
N 2.0587 0.0000 0.0000